Entry from the Alexandria database: a crystal of RbTc3N relaxed with PBEsol (SCAN).

The space group is Pm-3m (No. 221) and the conventional cell measures 4.2055, 4.2055 and 4.2055 Å, with angles of 90.00, 90.00 and 90.00 degrees. Symmetry generates all atoms from Rb at (0.0000, 0.0000, 0.0000), Tc at (0.0000, 0.5000, 0.5000) and N at (0.5000, 0.5000, 0.5000).

The density of states at the Fermi level is 4.2 states/eV/f.u. The calculation puts the magnetic moment at 0.6837 μB/atom. Its formation energy without anion corrections is 1.27 eV/atom.